[1]
The following is a PBE calculation of a relaxed NaPrAu10 crystal, from the Alexandria database.

POSCAR file:
```
NaPrAu10
1.0
-2.772 1.264 3.578
-2.383 -5.054 -0.060
6.668 -3.220 6.303
Au Pr Na
10 1 1
direct
0.500 0.746 0.255 Au
0.000 0.000 0.329 Au
0.500 0.254 0.255 Au
0.000 0.500 0.836 Au
0.500 0.500 0.000 Au
0.000 0.000 0.671 Au
0.500 0.746 0.745 Au
0.500 0.254 0.745 Au
0.500 0.000 0.500 Au
0.000 0.500 0.164 Au
0.000 0.500 0.500 Pr
0.000 0.000 0.000 Na
```

[2]
The following is a PBE calculation of a relaxed NaPrAu3 crystal, from the Alexandria database.

Values from the calculation:
- energy above the most stable polymorph in this dataset (meV/atom) = 0

POSCAR file:
```
NaPrAu3
1.0
3.614 0.000 -0.498
0.000 4.813 0.000
0.059 0.000 13.802
Au Na Pr
6 2 2
direct
0.524 0.750 0.048 Au
0.675 0.250 0.350 Au
0.476 0.250 0.952 Au
0.325 0.750 0.650 Au
0.624 0.750 0.248 Au
0.376 0.250 0.752 Au
0.788 0.250 0.575 Na
0.212 0.750 0.425 Na
0.075 0.250 0.150 Pr
0.925 0.750 0.850 Pr
```

[3]
The following is a PBE calculation of a relaxed Na2PrAu4 crystal, from the Alexandria database.

POSCAR file:
```
Na2PrAu4
1.0
4.636 0.000 -1.057
-0.192 3.596 -0.840
-0.145 0.441 10.060
Au Pr Na
4 1 2
direct
0.929 0.429 0.858 Au
0.357 0.357 0.714 Au
0.643 0.643 0.286 Au
0.071 0.571 0.142 Au
0.500 0.000 0.000 Pr
0.804 0.804 0.608 Na
0.196 0.196 0.392 Na
```

[4]
The following is a PBE calculation of a relaxed NaPr4Au7 crystal, from the Alexandria database.

POSCAR file:
```
NaPr4Au7
1.0
-3.290 3.238 2.326
-6.511 -4.878 3.325
0.769 -0.671 7.766
Au Pr Na
7 4 1
direct
0.094 0.639 0.174 Au
0.500 0.000 0.000 Au
0.192 0.023 0.594 Au
0.670 0.455 0.205 Au
0.808 0.977 0.406 Au
0.906 0.361 0.826 Au
0.330 0.545 0.795 Au
0.270 0.265 0.196 Pr
0.437 0.748 0.379 Pr
0.730 0.735 0.804 Pr
0.563 0.252 0.621 Pr
0.000 0.000 0.000 Na
```

[5]
The following is a PBE calculation of a relaxed NaPrAu3 crystal, from the Alexandria database.

Values from the calculation:
- energy above the most stable polymorph in this dataset (meV/atom) = 167

POSCAR file:
```
NaPrAu3
1.0
-4.620 -0.225 -2.081
2.796 -3.319 -5.850
-1.195 -6.610 3.179
Au Na Pr
6 2 2
direct
0.751 0.061 0.954 Au
0.249 0.939 0.046 Au
0.244 0.750 0.455 Au
0.249 0.561 0.046 Au
0.751 0.439 0.954 Au
0.756 0.250 0.545 Au
0.737 0.750 0.712 Na
0.263 0.250 0.288 Na
0.252 0.250 0.776 Pr
0.748 0.750 0.224 Pr
```

[6]
The following is a PBE calculation of a relaxed NaPr2Au6 crystal, from the Alexandria database.

POSCAR file:
```
NaPr2Au6
1.0
-0.821 3.231 1.376
-1.690 2.797 -7.579
-5.959 -3.451 4.549
Au Pr Na
6 2 1
direct
0.500 0.332 0.000 Au
0.500 0.668 0.000 Au
0.500 0.000 0.668 Au
0.500 0.668 0.668 Au
0.500 0.332 0.332 Au
0.500 0.000 0.332 Au
0.000 0.333 0.667 Pr
0.000 0.667 0.333 Pr
0.000 0.000 0.000 Na
```

[7]
The following is a PBE calculation of a relaxed NaPr3Au4 crystal, from the Alexandria database.

POSCAR file:
```
NaPr3Au4
1.0
5.017 0.000 1.481
2.290 4.464 1.481
0.039 0.024 9.107
Na Pr Au
1 3 4
direct
0.000 0.000 0.000 Na
0.743 0.743 0.771 Pr
0.500 0.500 0.500 Pr
0.257 0.257 0.229 Pr
0.380 0.380 0.861 Au
0.133 0.133 0.600 Au
0.620 0.620 0.139 Au
0.867 0.867 0.400 Au
```

[8]
The following is a PBE calculation of a relaxed NaPrAu2 crystal, from the Alexandria database.

Values from the calculation:
- energy above the most stable polymorph in this dataset (meV/atom) = 144

POSCAR file:
```
NaPrAu2
1.0
-2.494 -0.428 3.436
-1.233 -3.882 1.271
4.521 -1.917 5.693
Na Au Pr
1 2 1
direct
0.000 0.000 0.000 Na
0.750 0.750 0.750 Au
0.250 0.250 0.250 Au
0.500 0.500 0.500 Pr
```

What did we get for total DFT energy (no corrections)? Answer: -0.2603, -0.2743, -0.2486, -0.3091, -0.2621, -0.2920, -0.3140, -0.2649 Ry per atom, in the order shown.
What did we get for density of states at the Fermi level? Answer: 0.41, 0.60, 0.42, 0.64, 0.62, 0.42, 0.64, 0.71 states/eV/atom, in the order shown.
What did we get for total moment? Answer: 0.0, 0.0, 0.0, 0.0, 0.0, 0.0, 0.0, 0.0 μB per cell, in the order shown.